Record 1
Compound: ZrCdTc2
Source: the Alexandria database
Functional: GGA-PBE
Structure: relaxed

a b c (Å): 3.028 3.935 5.981
angles (deg): 90.00 90.00 90.00
Element x y z (fractional)
Zr1 0.000 0.000 0.000
Cd1 0.500 0.500 0.292
Tc1 0.000 0.000 0.565
Tc2 0.500 0.500 0.759

Calculated values
Calculated total energy ... -29.8 eV per cell
ΔE_f ... 95 meV per atom

Record 2
Compound: K2Tl2Cd
Source: the Alexandria database
Functional: GGA-PBE
Structure: relaxed

a b c (Å): 8.013 8.013 5.881
angles (deg): 90.00 90.00 90.00
Element x y z (fractional)
K1 0.177 0.323 0.000
K2 0.323 0.823 0.000
K3 0.677 0.177 0.000
K4 0.823 0.677 0.000
Tl1 0.135 0.635 0.500
Tl2 0.365 0.135 0.500
Tl3 0.635 0.865 0.500
Tl4 0.865 0.365 0.500
Cd1 0.000 0.000 0.500
Cd2 0.500 0.500 0.500

Calculated values
Calculated total energy ... -16.1 eV per cell
Energy above the most stable polymorph in this dataset ... 44 meV per atom
ΔE_f ... -38 meV per atom

Record 3
Compound: LiTc2Ni
Source: the Alexandria database
Functional: GGA-PBE
Structure: relaxed

a b c (Å): 4.190 4.190 4.190
angles (deg): 119.88 119.88 90.21
Element x y z (fractional)
Li1 0.000 0.000 0.000
Tc1 0.500 0.500 0.000
Tc2 0.750 0.250 0.500
Ni1 0.250 0.750 0.500

Calculated values
Calculated total energy ... -27.8 eV per cell
Energy above the most stable polymorph in this dataset ... 41 meV per atom
ΔE_f ... 151 meV per atom

Record 4
Compound: La2ZrRe
Source: the Alexandria database
Functional: GGA-PBE
Structure: relaxed

a b c (Å): 5.121 5.121 5.121
angles (deg): 60.00 60.00 60.00
Element x y z (fractional)
La1 0.000 0.000 0.000
La2 0.250 0.250 0.250
Zr1 0.750 0.750 0.750
Re1 0.500 0.500 0.500

Calculated values
Calculated total energy ... -29.3 eV per cell
Energy above the most stable polymorph in this dataset ... 276 meV per atom
ΔE_f ... 383 meV per atom

Record 5
Compound: SrPr2C
Source: the Alexandria database
Functional: GGA-PBE
Structure: relaxed

a b c (Å): 10.784 10.784 10.784
angles (deg): 20.21 20.21 20.21
Element x y z (fractional)
Sr1 0.000 0.000 0.000
Pr1 0.122 0.122 0.122
Pr2 0.878 0.878 0.878
C1 0.500 0.500 0.500

Calculated values
Calculated total energy ... -20.3 eV per cell
ΔE_f ... 50 meV per atom

Record 6
Compound: Ba2Hg4Pt
Source: the Alexandria database
Functional: GGA-PBE
Structure: relaxed

a b c (Å): 9.481 9.481 9.481
angles (deg): 147.56 147.56 46.53
Element x y z (fractional)
Ba1 0.141 0.141 0.000
Ba2 0.859 0.859 0.000
Hg1 0.000 0.500 0.500
Hg2 0.338 0.338 0.000
Hg3 0.500 0.000 0.500
Hg4 0.662 0.662 0.000
Pt1 0.500 0.500 0.000

Calculated values
Calculated total energy ... -13.6 eV per cell
ΔE_f ... -359 meV per atom

> Which of these has the lowest calculated total energy?

ZrCdTc2